# 1
Density functional theory data (PBE) for a geometry-optimized LaCrW2 structure.

magnetization	0.2510	μB per atom
ΔH_f (0 K)	0.771	eV/atom
volume	18.3	Å³ per atom

a b c (Å): 3.0951 4.7920 9.8639
angles (deg): 90.00 90.00 90.00
Last column: nearest neighbours and their distance in Å.
Space group Immm (No. 71)
Inequivalent atoms, fractional coordinates:
La  0.0000  0.0000  0.0000 (multiplicity 2)  4 Cr 2.85, 4 W 3.07, 2 La 3.10
Cr  0.0000  0.0000  0.5000 (multiplicity 2)  4 W 2.76, 4 La 2.85
W  0.0000  0.5000  0.2313 (multiplicity 4)  2 Cr 2.76, 4 W 2.88, 2 La 3.07



# 2
Density functional theory data (PBE) for a geometry-optimized LaCr2W structure.

magnetization	0.1041	μB per atom
ΔH_f (0 K)	0.786	eV/atom
volume	17.5	Å³ per atom

a b c (Å): 6.5384 6.5384 6.5384
angles (deg): 90.00 90.00 90.00
Last column: nearest neighbours and their distance in Å.
Space group F-43m (No. 216)
Inequivalent atoms, fractional coordinates:
La  0.0000  0.0000  0.0000 (multiplicity 4)  4 Cr 2.83, 4 W 2.83
Cr  0.0000  0.0000  0.5000 (multiplicity 4)  4 W 2.83, 4 Cr 2.83
Cr  0.2500  0.2500  0.7500 (multiplicity 4)  4 Cr 2.83, 4 La 2.83
W  0.2500  0.2500  0.2500 (multiplicity 4)  4 La 2.83, 4 Cr 2.83